# 1
Material: U2HgBi
Method: DFT, PBE-GGA
State: relaxed

The structure belongs to space group P4/mmm (No. 123); the cell edges are 4.7118, 4.7118 and 4.7140 Å and the angles 90.00°, 90.00° and 90.00°. The inequivalent atoms are U at (0.0000, 0.5000, 0.0000), Hg at (0.0000, 0.0000, 0.5000) and Bi at (0.5000, 0.5000, 0.5000).

The calculation puts the calculated total energy at -6.447 eV/atom. The formation enthalpy at 0 K is 0.2429 eV/atom.


# 2
Material: VHgBi2
Method: DFT, PBE-GGA
State: relaxed

The structure belongs to space group R-3m (No. 166, hexagonal axes); the cell edges are 3.3176, 3.3176 and 36.6981 Å and the angles 90.00°, 90.00° and 120.00°. The inequivalent atoms are V at (0.0000, 0.0000, 0.0000), Hg at (0.0000, 0.0000, 0.5000) and Bi at (0.0000, 0.0000, 0.0768).

The calculation puts the calculated total energy at -3.697 eV/atom. The formation enthalpy at 0 K is 0.5991 eV/atom.


# 3
Material: V3HgBi
Method: DFT, PBE-GGA
State: relaxed

The structure belongs to space group Pm-3m (No. 221); the cell edges are 5.2475, 5.2475 and 5.2475 Å and the angles 90.00°, 90.00° and 90.00°. The inequivalent atoms are V at (0.0000, 0.0000, 0.5000), Hg at (0.5000, 0.5000, 0.5000) and Bi at (0.0000, 0.0000, 0.0000).

The calculation puts the calculated total energy at -4.802 eV/atom. The formation enthalpy at 0 K is 1.5054 eV/atom.


# 4
Material: V3HgBi
Method: DFT, PBE-GGA
State: relaxed

The structure belongs to space group Pm-3m (No. 221); the cell edges are 5.0051, 5.0051 and 5.0051 Å and the angles 90.00°, 90.00° and 90.00°. The inequivalent atoms are V at (0.0000, 0.0000, 0.5000), Hg at (0.0000, 0.0000, 0.0000) and Bi at (0.5000, 0.5000, 0.5000).

The calculation puts the calculated total energy at -4.925 eV/atom. The formation enthalpy at 0 K is 1.3823 eV/atom.


# 5
Material: VHg2Bi
Method: DFT, PBE-GGA
State: relaxed

The structure belongs to space group R-3m (No. 166, hexagonal axes); the cell edges are 3.3172, 3.3172 and 33.7685 Å and the angles 90.00°, 90.00° and 120.00°. The inequivalent atoms are V at (0.0000, 0.0000, 0.0000), Hg at (0.0000, 0.0000, 0.0817) and Bi at (0.0000, 0.0000, 0.5000).

The calculation puts the calculated total energy at -2.783 eV/atom. The formation enthalpy at 0 K is 0.6181 eV/atom.


# 6
Material: VHg2Bi
Method: DFT, PBE-GGA
State: relaxed

The structure belongs to space group I-42d (No. 122); the cell edges are 8.4174, 8.4174 and 5.6625 Å and the angles 90.00°, 90.00° and 90.00°. The inequivalent atoms are V at (0.0000, 0.0000, 0.0000), Hg at (0.2114, 0.2500, 0.1250) and Bi at (0.0000, 0.0000, 0.5000).

The calculation puts the calculated total energy at -2.951 eV/atom. The formation enthalpy at 0 K is 0.4502 eV/atom.


# 7
Material: VHgBi2
Method: DFT, PBE-GGA
State: relaxed

The structure belongs to space group I-42d (No. 122); the cell edges are 4.6074, 4.6074 and 21.1293 Å and the angles 90.00°, 90.00° and 90.00°. The inequivalent atoms are V at (0.0000, 0.0000, 0.0000), Hg at (0.0000, 0.0000, 0.5000) and Bi at (0.2384, 0.2500, 0.1250).

The calculation puts the calculated total energy at -3.800 eV/atom. The formation enthalpy at 0 K is 0.4954 eV/atom.


# 8
Material: VHgBi3
Method: DFT, PBE-GGA
State: relaxed

The structure belongs to space group Pm-3m (No. 221); the cell edges are 5.6605, 5.6605 and 5.6605 Å and the angles 90.00°, 90.00° and 90.00°. The inequivalent atoms are V at (0.0000, 0.0000, 0.0000), Hg at (0.5000, 0.5000, 0.5000) and Bi at (0.0000, 0.5000, 0.5000).

The calculation puts the calculated total energy at -3.077 eV/atom. The formation enthalpy at 0 K is 1.1355 eV/atom.